(1)
This record from the Alexandria database describes a PBEsol-optimized structure of Na10SrSn12. The functional is meta-GGA SCAN.

Properties
electronic total energy	-503.17	eV/f.u.
volume	30.08	Å³/atom
space group	I-43m (217)
energy of formation	-32	kJ per mole of atoms

Cell lengths 9.650, 9.650, 9.650 Å; angles 109.47, 109.47, 109.47 degrees
Positions (direct):
Sn  0.000  0.373  0.189
Sn  0.184  0.811  0.811
Na  0.387  0.387  0.387
Sn  0.627  0.627  0.816
Na  0.750  0.500  0.250
Sn  0.189  0.000  0.373
Na  0.750  0.250  0.500
Na  0.250  0.750  0.500
Sn  0.627  0.816  0.627
Sn  0.373  0.189  0.000
Na  0.000  0.613  0.000
Na  0.000  0.000  0.613
Sn  0.373  0.000  0.189
Sn  0.811  0.184  0.811
Na  0.613  0.000  0.000
Sn  0.189  0.373  0.000
Na  0.500  0.250  0.750
Sr  0.000  0.000  0.000
Sn  0.000  0.189  0.373
Na  0.500  0.750  0.250
Sn  0.811  0.811  0.184
Na  0.250  0.500  0.750
Sn  0.816  0.627  0.627

***

(2)
This record from the Alexandria database describes a PBEsol-optimized structure of Mg2TlCu. The functional is meta-GGA SCAN.

Properties
electronic total energy	-97.88	eV/f.u.
volume	19.18	Å³/atom
space group	Pmmm (47)
energy of formation	-9	kJ per mole of atoms

Cell lengths 3.196, 3.244, 7.398 Å; angles 90.01, 90.00, 90.00 degrees
Positions (direct):
Mg  0.000  0.000  0.297
Tl  0.500  0.500  0.000
Mg  0.000  0.000  0.703
Cu  0.500  0.500  0.500

***

- What is the electronic total energy in the first record?
  -503.17 eV/f.u.

***

- Which value of energy of formation does entry 2 give?
  -9 kJ per mole of atoms

***

- Which of these has the lowest volume?
  Mg2TlCu

***

- Which of these has the lowest volume?
  Mg2TlCu